Li6InCu (GGA-PBE, optimized geometry); calculated density = 2.7 g/cm³; ΔH_f (0 K) = -98 meV per atom; E above lowest polymorph = 0.05 eV per formula unit
1.0
4.777 0.000 0.000
0.000 5.235 -2.545
0.000 -0.670 5.783
Li In Cu
6 1 1
Cartesian
2.389 2.981 3.053
0.000 4.233 -1.132
2.389 0.698 1.434
0.000 3.918 1.737
0.000 1.177 3.179
0.000 1.630 0.115
2.389 3.313 0.166
2.389 0.311 4.400

---

Pm5GePb3 (GGA-PBE, optimized geometry); calculated density = 8.8 g/cm³; ΔH_f (0 K) = -663 meV per atom
1.0
6.677 0.000 0.000
0.000 9.624 0.000
0.000 -4.812 8.335
Pm Pb Ge
10 6 2
Cartesian
5.008 7.198 0.000
3.338 0.000 5.557
0.000 4.812 2.778
3.338 4.812 2.778
0.000 0.000 5.557
5.008 -3.599 6.233
1.669 2.427 0.000
1.669 -1.213 2.102
5.008 1.213 2.102
1.669 3.599 6.233
5.008 -1.876 3.250
1.669 1.876 3.250
1.669 -2.936 5.085
1.669 5.872 0.000
5.008 3.753 0.000
5.008 2.936 5.085
0.000 0.000 0.000
3.338 0.000 0.000

---

These records have electronic total energy values of -2.39; -5.05 eV/atom, in the order they appear.